No. 1
NaDyH2S2O9: single point on PBEsol structure, SCAN.

Unit cell a=6.8003 b=6.8003 c=12.6531 alpha=90.00 beta=90.00 gamma=120.00
Fractional coordinates of all 45 atoms:
O  0.1257  0.3815  0.1631
O  0.1283  0.6218  0.0180
O  0.5157  0.8663  0.1648
O  0.3506  0.4843  0.8315
O  0.4843  0.3506  0.5018
O  0.9116  0.9116  0.6667
O  0.0000  0.0884  0.3333
O  0.8246  0.2392  0.0327
O  0.4935  0.8717  0.6847
O  0.3782  0.5065  0.3513
O  0.6185  0.7442  0.4964
O  0.3815  0.1257  0.1702
O  0.8663  0.5157  0.1685
O  0.8743  0.2558  0.5036
O  0.1337  0.6494  0.4982
O  0.0884  0.0000  0.0000
O  0.5854  0.7608  0.9673
O  0.2558  0.8743  0.8298
O  0.7608  0.5854  0.3660
O  0.1754  0.4146  0.6340
O  0.2392  0.8246  0.3007
O  0.8717  0.4935  0.6487
O  0.6218  0.1283  0.3153
O  0.4146  0.1754  0.6993
O  0.7442  0.6185  0.8369
O  0.5065  0.3782  0.9820
O  0.6494  0.1337  0.8352
H  0.0933  0.0492  0.2888
H  0.9558  0.9067  0.9555
H  0.9067  0.9558  0.3779
H  0.9508  0.0442  0.6221
H  0.0492  0.0933  0.0445
H  0.0442  0.9508  0.7112
Na  0.4728  0.0000  0.5000
Na  0.0000  0.4728  0.8333
Na  0.5272  0.5272  0.1667
S  0.5435  0.5582  0.9061
S  0.4565  0.0147  0.7606
S  0.4418  0.9853  0.2394
S  0.5582  0.5435  0.4273
S  0.9853  0.4418  0.0939
S  0.0147  0.4565  0.5727
Dy  0.5651  0.5651  0.6667
Dy  0.4349  0.0000  0.0000
Dy  0.0000  0.4349  0.3333

Results
The value obtained for the electronic total energy is -0.406 hartree per atom.



No. 2
Y2ZrRu: single point on PBEsol structure, SCAN.

Unit cell a=3.4524 b=5.1490 c=6.0178 alpha=115.33 beta=106.67 gamma=90.00
Fractional coordinates of all 4 atoms:
Zr  0.5515  0.0515  0.1031
Y  0.7520  0.7520  0.5041
Y  0.9586  0.4586  0.9173
Ru  0.2378  0.2378  0.4755

Results
The value obtained for the electronic total energy is -1.125 hartree per atom. As for the formation energy: -0.30 eV per atom.



No. 3
Zn2TeIr: single point on PBEsol structure, SCAN.

Unit cell a=3.3684 b=3.3684 c=5.8831 alpha=90.00 beta=90.00 gamma=90.00
Fractional coordinates of all 4 atoms:
Zn  0.0000  0.0000  0.7924
Zn  0.0000  0.0000  0.2076
Ir  0.5000  0.5000  0.0000
Te  0.5000  0.5000  0.5000

Results
The value obtained for the electronic total energy is -1.237 hartree per atom. As for the formation energy without anion corrections: 16.6 kJ per mole of atoms.



No. 4
KSr2Ca: single point on PBEsol structure, SCAN.

Unit cell a=4.1119 b=4.1119 c=12.3695 alpha=90.00 beta=90.00 gamma=90.00
Fractional coordinates of all 4 atoms:
Ca  0.5000  0.5000  0.0000
Sr  0.0000  0.0000  0.2227
Sr  0.0000  0.0000  0.7773
K  0.5000  0.5000  0.5000

Results
The value obtained for the electronic total energy is -0.572 hartree per atom. As for the formation energy: 0.07 eV per atom.



No. 5
FeCuPt3: single point on PBEsol structure, SCAN.

Unit cell a=4.4842 b=4.4842 c=4.4842 alpha=90.00 beta=90.00 gamma=90.00
Last column: magnetic moment on the atom in μB.
Fractional coordinates of all 5 atoms:
Fe  0.0000  0.0000  0.0000  2.74
Pt  0.0000  0.0000  0.5000  0.35
Pt  0.0000  0.5000  0.0000  0.35
Pt  0.5000  0.0000  0.0000  0.35
Cu  0.5000  0.5000  0.5000  0.02

Results
The value obtained for the electronic total energy is -1.754 hartree per atom. As for the formation energy: 1.06 eV per atom.



No. 6
CaMg2Sc: single point on PBEsol structure, SCAN.

Unit cell a=3.6558 b=5.3257 c=5.3250 alpha=90.00 beta=90.00 gamma=90.00
Fractional coordinates of all 4 atoms:
Mg  0.0000  0.0000  0.1269
Mg  0.0000  0.5000  0.6234
Ca  0.5000  0.5000  0.1235
Sc  0.5000  0.0000  0.6262

Results
The value obtained for the electronic total energy is -0.311 hartree per atom. As for the formation energy: -0.01 eV per atom.



No. 7
LiLaCd: single point on PBEsol structure, SCAN.

Unit cell a=3.5072 b=3.5072 c=6.4487 alpha=105.78 beta=105.78 gamma=90.00
Fractional coordinates of all 3 atoms:
La  0.6613  0.6613  0.3227
Cd  0.9736  0.9736  0.9471
Li  0.3651  0.3651  0.7302

Results
The value obtained for the electronic total energy is -0.937 hartree per atom. As for the formation energy: -0.19 eV per atom.



No. 8
Cr2CdRu: single point on PBEsol structure, SCAN.

Unit cell a=2.9645 b=4.3855 c=4.3855 alpha=90.00 beta=90.00 gamma=90.00
Last column: magnetic moment on the atom in μB.
Fractional coordinates of all 4 atoms:
Cd  0.5000  0.0000  0.0000  -0.03
Ru  0.5000  0.5000  0.5000  -0.73
Cr  0.0000  0.5000  0.0000  3.10
Cr  0.0000  0.0000  0.5000  3.10

Results
The value obtained for the electronic total energy is -0.923 hartree per atom. As for the formation energy: 0.39 eV per atom.



No. 9
TmSi2Ni: single point on PBEsol structure, SCAN.

Unit cell a=3.8934 b=3.8904 c=8.3707 alpha=76.56 beta=90.00 gamma=90.00
Fractional coordinates of all 8 atoms:
Si  0.7500  0.7501  0.5001
Si  0.7500  0.4600  0.0802
Si  0.2500  0.5400  0.9198
Si  0.2500  0.2499  0.4999
Ni  0.2500  0.6761  0.6476
Ni  0.7500  0.3239  0.3524
Tm  0.7500  0.1053  0.7895
Tm  0.2500  0.8947  0.2105

Results
The value obtained for the electronic total energy is -0.840 hartree per atom. As for the formation energy without anion corrections: -82.8 kJ per mole of atoms.



No. 10
LiBi3Pb: single point on PBEsol structure, SCAN.

Unit cell a=5.1960 b=5.1960 c=5.1960 alpha=90.00 beta=90.00 gamma=90.00
Fractional coordinates of all 5 atoms:
Bi  0.0000  0.5000  0.0000
Bi  0.5000  0.0000  0.0000
Bi  0.0000  0.0000  0.5000
Pb  0.5000  0.5000  0.5000
Li  0.0000  0.0000  0.0000

Results
The value obtained for the electronic total energy is -2.299 hartree per atom. As for the formation energy: 0.23 eV per atom.



No. 11
CaTe2Au2: single point on PBEsol structure, SCAN.

Unit cell a=4.6438 b=4.6438 c=6.8390 alpha=109.85 beta=109.85 gamma=90.00
Fractional coordinates of all 5 atoms:
Au  0.3924  0.3924  0.7847
Au  0.6076  0.6076  0.2153
Ca  0.0000  0.0000  0.0000
Te  0.7500  0.2500  0.5000
Te  0.2500  0.7500  0.5000

Results
The value obtained for the electronic total energy is -1.651 hartree per atom. As for the formation energy without anion corrections: -41.4 kJ per mole of atoms.



No. 12
Ba2AgMo: single point on PBEsol structure, SCAN.

Unit cell a=3.6070 b=3.6070 c=10.4016 alpha=80.02 beta=80.02 gamma=60.00
Last column: magnetic moment on the atom in μB.
Fractional coordinates of all 4 atoms:
Ba  0.7527  0.7527  0.7419  -0.06
Ba  0.2473  0.2473  0.2581  -0.06
Mo  0.5000  0.5000  0.5000  2.25
Ag  0.0000  0.0000  0.0000  0.01

Results
The value obtained for the electronic total energy is -1.300 hartree per atom. As for the formation energy: 0.96 eV per atom.



No. 13
LiZrO2: single point on PBEsol structure, SCAN.

Unit cell a=4.2901 b=4.2901 c=5.3444 alpha=113.66 beta=113.66 gamma=90.00
Fractional coordinates of all 8 atoms:
O  0.2440  0.2440  0.4880
O  0.4940  0.9940  0.9880
O  0.0060  0.5060  0.0120
O  0.7560  0.7560  0.5120
Zr  0.5000  0.5000  0.0000
Zr  0.7500  0.2500  0.5000
Li  0.2500  0.7500  0.5000
Li  0.0000  0.0000  0.0000

Results
The value obtained for the electronic total energy is -0.525 hartree per atom. As for the formation energy without anion corrections: -278.8 kJ per mole of atoms.



No. 14
Si3HF: single point on PBEsol structure, SCAN.

Unit cell a=3.9122 b=3.9122 c=3.9122 alpha=90.00 beta=90.00 gamma=90.00
Fractional coordinates of all 5 atoms:
Si  0.0000  0.5000  0.0000
Si  0.5000  0.0000  0.0000
Si  0.0000  0.0000  0.5000
H  0.0000  0.0000  0.0000
F  0.5000  0.5000  0.5000

Results
The value obtained for the electronic total energy is -0.251 hartree per atom.



No. 15
SrTa2Bi2O9: single point on PBEsol structure, SCAN.

Unit cell a=3.9012 b=3.9012 c=12.5672 alpha=98.93 beta=98.93 gamma=90.00
Fractional coordinates of all 14 atoms:
O  0.3367  0.3367  0.6735
O  0.5000  0.5000  0.0000
O  0.6633  0.6633  0.3265
O  0.7500  0.2500  0.5000
O  0.0773  0.5773  0.1546
O  0.4227  0.9227  0.8454
O  0.9227  0.4227  0.8454
O  0.5773  0.0773  0.1546
O  0.2500  0.7500  0.5000
Bi  0.7999  0.7999  0.5998
Bi  0.2001  0.2001  0.4002
Sr  0.0000  0.0000  0.0000
Ta  0.4137  0.4137  0.8274
Ta  0.5863  0.5863  0.1726

Results
The value obtained for the electronic total energy is -1.060 hartree per atom. As for the formation energy without anion corrections: -241.9 kJ per mole of atoms.



No. 16
SiSb2Ru: single point on PBEsol structure, SCAN.

Unit cell a=4.3602 b=4.6247 c=4.6247 alpha=116.97 beta=90.00 gamma=90.00
Fractional coordinates of all 4 atoms:
Sb  0.0000  0.0915  0.9085
Sb  0.5000  0.6656  0.3344
Si  0.0000  0.4327  0.5673
Ru  0.5000  0.3048  0.6952

Results
The value obtained for the electronic total energy is -1.096 hartree per atom. As for the formation energy without anion corrections: 2.0 kJ per mole of atoms.



No. 17
KReCl2: single point on PBEsol structure, SCAN.

Unit cell a=3.5637 b=3.5637 c=7.1092 alpha=90.00 beta=90.00 gamma=90.00
Last column: magnetic moment on the atom in μB.
Fractional coordinates of all 4 atoms:
Cl  0.0000  0.0000  0.8974  0.07
Cl  0.5000  0.5000  0.2410  0.07
K  0.0000  0.0000  0.4716  0.02
Re  0.5000  0.5000  0.8900  2.33

Results
The value obtained for the electronic total energy is -0.869 hartree per atom. As for the formation energy without anion corrections: 19.2 kJ per mole of atoms.



No. 18
PdS2NO: single point on PBEsol structure, SCAN.

Unit cell a=3.6061 b=4.8361 c=4.8361 alpha=90.00 beta=90.00 gamma=90.00
Last column: magnetic moment on the atom in μB.
Fractional coordinates of all 5 atoms:
O  0.5000  0.5000  0.5000  1.52
N  0.5000  0.0000  0.0000  0.34
S  0.0000  0.0000  0.5000  0.75
S  0.0000  0.5000  0.0000  0.75
Pd  0.0000  0.0000  0.0000  0.03

Results
The value obtained for the electronic total energy is -0.442 hartree per atom. As for the formation energy without anion corrections: 143.7 kJ per mole of atoms.



No. 19
Y5Te3: single point on PBEsol structure, SCAN.

Unit cell a=6.0691 b=8.9021 c=8.9021 alpha=120.00 beta=90.00 gamma=90.00
Fractional coordinates of all 16 atoms:
Y  0.5000  0.3333  0.6667
Y  0.0000  0.6667  0.3333
Y  0.0000  0.3333  0.6667
Y  0.7500  0.7439  0.7439
Y  0.2500  0.7439  0.0000
Y  0.2500  0.0000  0.7439
Y  0.5000  0.6667  0.3333
Y  0.2500  0.2561  0.2561
Y  0.7500  0.2561  0.0000
Y  0.7500  0.0000  0.2561
Te  0.2500  0.0000  0.3851
Te  0.7500  0.0000  0.6149
Te  0.2500  0.3851  0.0000
Te  0.2500  0.6149  0.6149
Te  0.7500  0.3851  0.3851
Te  0.7500  0.6149  0.0000

Results
The value obtained for the electronic total energy is -1.192 hartree per atom. As for the formation energy without anion corrections: -102.1 kJ per mole of atoms.



No. 20
CdIr2: single point on PBEsol structure, SCAN.

Unit cell a=2.7720 b=2.7720 c=6.4113 alpha=102.48 beta=102.48 gamma=90.00
Fractional coordinates of all 3 atoms:
Cd  0.0000  0.0000  0.0000
Ir  0.3214  0.3214  0.6428
Ir  0.6786  0.6786  0.3572

Results
The value obtained for the electronic total energy is -2.111 hartree per atom. As for the formation energy: 0.10 eV per atom.